Entry 1:
! TbDy5Sc4 | Alexandria via LeMat-Bulk | PBE-GGA | relaxed; values from VASP
! * space group: P4/mmm (123)
! * ΔE to the lowest computed polymorph: 0 kJ/mol of formula units
! * calculated total energy: -5.250 eV per atom
&SYSTEM
  ibrav = 0, nat = 10, ntyp = 3
/
ATOMIC_SPECIES
Tb 158.93 Tb.upf
Dy 162.50 Dy.upf
Sc 44.96 Sc.upf
ATOMIC_POSITIONS crystal
Tb 0.0000 0.0000 0.0000
Dy 0.5000 0.5000 0.1080
Dy 0.5000 0.5000 0.3044
Dy 0.5000 0.5000 0.5000
Dy 0.5000 0.5000 0.6956
Dy 0.5000 0.5000 0.8920
Sc 0.0000 0.0000 0.2063
Sc 0.0000 0.0000 0.4022
Sc 0.0000 0.0000 0.5978
Sc 0.0000 0.0000 0.7937
CELL_PARAMETERS angstrom
3.4752 0.0000 0.0000
0.0000 3.4752 0.0000
0.0000 0.0000 23.6349

Entry 2:
! Tb5Dy6Sc2 | Alexandria via LeMat-Bulk | PBE-GGA | relaxed; values from VASP
! * space group: Pbam (55)
! * calculated total energy: -4.826 eV per atom
&SYSTEM
  ibrav = 0, nat = 26, ntyp = 3
/
ATOMIC_SPECIES
Tb 158.93 Tb.upf
Dy 162.50 Dy.upf
Sc 44.96 Sc.upf
ATOMIC_POSITIONS crystal
Tb 0.0000 0.0000 0.0000
Tb 0.0613 0.4219 0.0000
Tb 0.1450 0.7208 0.0000
Tb 0.3550 0.2208 0.0000
Tb 0.4387 0.9219 0.0000
Tb 0.5000 0.5000 0.0000
Tb 0.5613 0.0781 0.0000
Tb 0.6450 0.7792 0.0000
Tb 0.8550 0.2792 0.0000
Tb 0.9387 0.5781 0.0000
Dy 0.0813 0.1548 0.0000
Dy 0.1664 0.8829 0.5000
Dy 0.2188 0.5548 0.5000
Dy 0.2812 0.0548 0.5000
Dy 0.3336 0.3829 0.5000
Dy 0.4187 0.6548 0.0000
Dy 0.5813 0.3452 0.0000
Dy 0.6664 0.6171 0.5000
Dy 0.7188 0.9452 0.5000
Dy 0.7812 0.4452 0.5000
Dy 0.8336 0.1171 0.5000
Dy 0.9187 0.8452 0.0000
Sc 0.1142 0.2864 0.5000
Sc 0.3858 0.7864 0.5000
Sc 0.6142 0.2136 0.5000
Sc 0.8858 0.7136 0.5000
CELL_PARAMETERS angstrom
11.2476 0.0000 0.0000
0.0000 20.1392 0.0000
0.0000 0.0000 3.5503

Entry 3:
! Tb19Dy4Sc6 | Alexandria via LeMat-Bulk | PBE-GGA | relaxed; values from VASP
! * space group: I23 (197)
! * calculated total energy: -4.586 eV per atom
&SYSTEM
  ibrav = 0, nat = 29, ntyp = 3
/
ATOMIC_SPECIES
Tb 158.93 Tb.upf
Dy 162.50 Dy.upf
Sc 44.96 Sc.upf
ATOMIC_POSITIONS crystal
Tb 0.0000 0.0000 0.0000
Tb 0.0000 0.2649 0.2649
Tb 0.0000 0.7351 0.7351
Tb 0.0082 0.7837 0.3402
Tb 0.2163 0.2245 0.5565
Tb 0.2245 0.5565 0.2163
Tb 0.2649 0.0000 0.2649
Tb 0.2649 0.2649 0.0000
Tb 0.3320 0.7755 0.9918
Tb 0.3402 0.0082 0.7837
Tb 0.4435 0.6680 0.6598
Tb 0.5565 0.2163 0.2245
Tb 0.6598 0.4435 0.6680
Tb 0.6680 0.6598 0.4435
Tb 0.7351 0.0000 0.7351
Tb 0.7351 0.7351 0.0000
Tb 0.7755 0.9918 0.3320
Tb 0.7837 0.3402 0.0082
Tb 0.9918 0.3320 0.7755
Dy 0.0000 0.0000 0.6411
Dy 0.0000 0.6411 0.0000
Dy 0.3589 0.3589 0.3589
Dy 0.6411 0.0000 0.0000
Sc 0.1161 0.6161 0.5000
Sc 0.3839 0.5000 0.8839
Sc 0.5000 0.1161 0.6161
Sc 0.5000 0.8839 0.3839
Sc 0.6161 0.5000 0.1161
Sc 0.8839 0.3839 0.5000
CELL_PARAMETERS angstrom
-6.1431 6.1431 6.1431
6.1431 -6.1431 6.1431
6.1431 6.1431 -6.1431

Entry 4:
! Tb4Dy5Sc | Alexandria via LeMat-Bulk | PBE-GGA | relaxed; values from VASP
! * space group: C2/m (12)
! * ΔE to the lowest computed polymorph: 0 kJ/mol of formula units
! * calculated total energy: -4.674 eV per atom
&SYSTEM
  ibrav = 0, nat = 10, ntyp = 3
/
ATOMIC_SPECIES
Tb 158.93 Tb.upf
Dy 162.50 Dy.upf
Sc 44.96 Sc.upf
ATOMIC_POSITIONS crystal
Tb 0.0917 0.0917 0.3088
Tb 0.3041 0.3041 0.4169
Tb 0.6959 0.6959 0.5831
Tb 0.9083 0.9083 0.6912
Dy 0.1059 0.1059 0.7863
Dy 0.2065 0.2065 0.0983
Dy 0.5000 0.5000 0.0000
Dy 0.7935 0.7935 0.9017
Dy 0.8941 0.8941 0.2137
Sc 0.5000 0.5000 0.5000
CELL_PARAMETERS angstrom
8.7260 -1.7263 0.0000
8.7260 1.7263 0.0000
-3.1906 0.0000 10.3887

Entry 5:
! Tb2Dy4Sc3 | Alexandria via LeMat-Bulk | PBE-GGA | relaxed; values from VASP
! * space group: P3m1 (156)
! * ΔE to the lowest computed polymorph: 30 kJ/mol of formula units
! * calculated total energy: -5.126 eV per atom
&SYSTEM
  ibrav = 0, nat = 9, ntyp = 3
/
ATOMIC_SPECIES
Tb 158.93 Tb.upf
Dy 162.50 Dy.upf
Sc 44.96 Sc.upf
ATOMIC_POSITIONS crystal
Tb 0.0000 0.0000 0.0000
Tb 0.0000 0.0000 0.2104
Dy 0.0000 0.0000 0.3481
Dy 0.0000 0.0000 0.5575
Dy 0.3333 0.6667 0.6730
Dy 0.3333 0.6667 0.8838
Sc 0.0000 0.0000 0.7785
Sc 0.3333 0.6667 0.1063
Sc 0.3333 0.6667 0.4518
CELL_PARAMETERS angstrom
3.4909 0.0000 0.0000
-1.7454 3.0232 0.0000
0.0000 0.0000 25.2864

Entry 6:
! Tb8Dy2Sc | Alexandria via LeMat-Bulk | PBE-GGA | relaxed; values from VASP
! * space group: C2/m (12)
! * ΔE to the lowest computed polymorph: 0 kJ/mol of formula units
! * calculated total energy: -4.603 eV per atom
&SYSTEM
  ibrav = 0, nat = 11, ntyp = 3
/
ATOMIC_SPECIES
Tb 158.93 Tb.upf
Dy 162.50 Dy.upf
Sc 44.96 Sc.upf
ATOMIC_POSITIONS crystal
Tb 0.0931 0.0931 0.9122
Tb 0.1580 0.6762 0.6095
Tb 0.2547 0.2547 0.6761
Tb 0.3238 0.8420 0.3905
Tb 0.6762 0.1580 0.6095
Tb 0.7453 0.7453 0.3239
Tb 0.8420 0.3238 0.3905
Tb 0.9069 0.9069 0.0878
Dy 0.3102 0.3102 0.1934
Dy 0.6898 0.6898 0.8066
Sc 0.5000 0.5000 0.0000
CELL_PARAMETERS angstrom
8.1975 -3.3051 0.0000
8.1975 3.3051 0.0000
-1.3310 0.0000 6.4620

Number 1: DFT formation energy 0.047 eV/atom, mass density 6.7 Mg/m³. Number 2: DFT formation energy 0.053 eV/atom, mass density 7.7 Mg/m³. Number 3: DFT formation energy 0.392 eV/atom, mass density 7.1 Mg/m³. Number 4: DFT formation energy 0.113 eV/atom, mass density 7.9 Mg/m³. Number 5: DFT formation energy 0.059 eV/atom, mass density 6.9 Mg/m³. Number 6: DFT formation energy 0.177 eV/atom, mass density 7.8 Mg/m³.